--- 1 ---
Density functional theory data (PBE) for an optimized crystal structure of BaTeAuN2.

a b c (Å): 4.365 4.365 7.448
angles (deg): 90.00 90.00 90.00
Fractional coordinates of all 5 atoms:
1 Ba 0.000 0.000 0.000
2 Te 0.000 0.000 0.500
3 Au 0.500 0.500 0.500
4 N 0.000 0.500 0.000
5 N 0.500 0.000 0.000

Volume: 28.4 Å³/atom
DOS(E_F): 7.319 states/eV/cell

--- 2 ---
Density functional theory data (PBE) for an optimized crystal structure of BaTeAuN2.

a b c (Å): 4.626 4.626 5.601
angles (deg): 90.00 90.00 90.00
Fractional coordinates of all 5 atoms:
1 Ba 0.000 0.000 0.000
2 Te 0.500 0.500 0.000
3 Au 0.500 0.500 0.500
4 N 0.000 0.500 0.500
5 N 0.500 0.000 0.500

Volume: 24.0 Å³/atom
DOS(E_F): 3.779 states/eV/cell

Most stable one: 2, least stable one: 1.